Here is an optimized crystal structure of Ca2PmBi from Alexandria via LeMat-Bulk. Energies are from GGA-PBE.

Lattice parameters (Å, degrees): 5.277 4.961 4.961 90.00 90.00 90.00
Fractional coordinates of all 4 atoms:
Ca: 0.000 0.500 0.000
Ca: 0.000 0.000 0.500
Bi: 0.500 0.500 0.500
Pm: 0.500 0.000 0.000

Output
The calculation puts the density of states at the Fermi level at 1.14 states/eV/atom. The energy above the most stable polymorph in this dataset is 0 kJ/mol of formula units.